Record 1
# DyInGe2, optimized geometry, DFT PBE-GGA
data_DyInGe2
_chemical_formula_sum 'Dy1 In1 Ge2'
_cell_length_a 4.607
_cell_length_b 4.607
_cell_length_c 4.096
_cell_angle_alpha 90.00
_cell_angle_beta 90.00
_cell_angle_gamma 90.00
_symmetry_space_group_name_H-M 'P 4/m m m'
_symmetry_Int_Tables_number 123
_symmetry_space_group_name_Hall '-P 4 2'
loop_
_atom_site_label
_atom_site_type_symbol
_atom_site_fract_x
_atom_site_fract_y
_atom_site_fract_z
Dy1 Dy 0.000 0.000 0.000
In1 In 0.500 0.500 0.000
Ge1 Ge 0.000 0.500 0.500
# - E: -4.5465 eV per atom
# - Volume: 86.9 Å³/cell
# - Mass density: 8.074 g/cm3
# - Fermi-level density of states: 2.36 states/eV per cell
# - Energy relative to the elements: -0.403 eV/atom

Record 2
# DyInGe2, optimized geometry, DFT PBE-GGA
data_DyInGe2
_chemical_formula_sum 'Dy1 In1 Ge2'
_cell_length_a 3.777
_cell_length_b 3.777
_cell_length_c 6.275
_cell_angle_alpha 90.00
_cell_angle_beta 90.00
_cell_angle_gamma 90.00
_symmetry_space_group_name_H-M 'P 4/m m m'
_symmetry_Int_Tables_number 123
_symmetry_space_group_name_Hall '-P 4 2'
loop_
_atom_site_label
_atom_site_type_symbol
_atom_site_fract_x
_atom_site_fract_y
_atom_site_fract_z
Dy1 Dy 0.000 0.000 0.000
In1 In 0.000 0.000 0.500
Ge1 Ge 0.500 0.500 0.267
# - E: -4.3952 eV per atom
# - Volume: 89.5 Å³/cell
# - Mass density: 7.839 g/cm3
# - Fermi-level density of states: 2.94 states/eV per cell
# - Energy relative to the elements: -0.251 eV/atom

Record 3
# Dy3InGe2, optimized geometry, DFT PBE-GGA
data_Dy3InGe2
_chemical_formula_sum 'Dy6 In2 Ge4'
_cell_length_a 4.314
_cell_length_b 4.336
_cell_length_c 15.701
_cell_angle_alpha 90.00
_cell_angle_beta 90.00
_cell_angle_gamma 90.00
_symmetry_space_group_name_H-M 'I m m m'
_symmetry_Int_Tables_number 71
_symmetry_space_group_name_Hall '-I 2 2'
loop_
_atom_site_label
_atom_site_type_symbol
_atom_site_fract_x
_atom_site_fract_y
_atom_site_fract_z
Dy1 Dy 0.000 0.000 0.000
Dy2 Dy 0.000 0.500 0.175
In1 In 0.000 0.000 0.500
Ge1 Ge 0.000 0.500 0.360
# - E: -4.9855 eV per atom
# - Volume: 293.7 Å³/cell
# - Mass density: 8.454 g/cm3
# - Fermi-level density of states: 7.49 states/eV per cell
# - Energy relative to the elements: -0.689 eV/atom

Record 4
# Dy2InGe, optimized geometry, DFT PBE-GGA
data_Dy2InGe
_chemical_formula_sum 'Dy2 In1 Ge1'
_cell_length_a 3.366
_cell_length_b 3.366
_cell_length_c 8.633
_cell_angle_alpha 90.00
_cell_angle_beta 90.00
_cell_angle_gamma 90.00
_symmetry_space_group_name_H-M 'P 4/m m m'
_symmetry_Int_Tables_number 123
_symmetry_space_group_name_Hall '-P 4 2'
loop_
_atom_site_label
_atom_site_type_symbol
_atom_site_fract_x
_atom_site_fract_y
_atom_site_fract_z
Dy1 Dy 0.000 0.000 0.225
In1 In 0.500 0.500 0.500
Ge1 Ge 0.500 0.500 0.000
# - E: -4.6846 eV per atom
# - Volume: 97.8 Å³/cell
# - Mass density: 8.698 g/cm3
# - Fermi-level density of states: 3.77 states/eV per cell
# - Energy relative to the elements: -0.545 eV/atom